DFT (PBE-GGA) results for a relaxed structure of La3SmIr8.

Cell lengths 5.459, 5.459, 9.445 Å; angles 73.20, 73.20, 60.00 degrees
Sites, in units of the cell vectors:
La (0.375, 0.375, 0.875)
La (0.000, 0.000, 0.000)
La (0.500, 0.500, 0.500)
Sm (0.875, 0.875, 0.375)
Ir (0.936, 0.437, 0.190)
Ir (0.439, 0.938, 0.685)
Ir (0.437, 0.437, 0.190)
Ir (0.938, 0.938, 0.685)
Ir (0.188, 0.188, 0.437)
Ir (0.687, 0.687, 0.938)
Ir (0.437, 0.936, 0.190)
Ir (0.938, 0.439, 0.685)

Output
total magnetic moment	0.00	μB per cell
energy of formation	-0.724	eV/atom